Record 1
Density functional theory data (PBE-GGA) for NdCu4Ni after structural relaxation.

Unit cell a=7.2856 b=3.8520 c=6.7073 alpha=90.00 beta=90.00 gamma=90.00
Last column: nearest neighbours and their distance in Å.
Fractional positions:
Nd 0.2500 0.0000 0.1052  1 Ni 2.60
Nd 0.7500 0.0000 0.8948  1 Ni 2.60
Cu 0.0000 0.0000 0.5000  2 Ni 2.33
Cu 0.0506 0.5000 0.7724  2 Ni 2.44, 4 Cu 2.54-2.69
Cu 0.2500 0.5000 0.4612  8 Cu 2.54-2.69, 2 Ni 2.58
Cu 0.4494 0.5000 0.7724  2 Ni 2.44, 4 Cu 2.54-2.69
Cu 0.5000 0.0000 0.5000  2 Ni 2.33
Cu 0.5506 0.5000 0.2276  2 Ni 2.44, 4 Cu 2.54-2.69
Cu 0.7500 0.5000 0.5388  8 Cu 2.54-2.69, 2 Ni 2.58
Cu 0.9494 0.5000 0.2276  2 Ni 2.44, 4 Cu 2.54-2.69
Ni 0.2500 0.0000 0.7174  8 Cu 2.33-2.58, 1 Nd 2.60
Ni 0.7500 0.0000 0.2826  8 Cu 2.33-2.58, 1 Nd 2.60

Summary:
The magnetization is 0.000 μB/atom.

---

Record 2
Density functional theory data (PBE-GGA) for Nd8Cu2Ni after structural relaxation.

Unit cell a=7.7674 b=7.7674 c=6.1663 alpha=103.68 beta=103.68 gamma=106.94
Last column: nearest neighbours and their distance in Å.
Fractional positions:
Nd 0.0000 0.0000 0.0000  2 Cu 3.03, 1 Nd 3.38
Nd 0.2223 0.5181 0.2442  1 Ni 2.73
Nd 0.2694 0.9982 0.5699  2 Cu 2.85-3.03, 1 Ni 2.95
Nd 0.4641 0.7515 0.8922  1 Ni 2.85, 2 Cu 2.89-3.08
Nd 0.5181 0.2223 0.2442  1 Ni 2.73
Nd 0.7376 0.7376 0.4324  2 Cu 2.94
Nd 0.7515 0.4641 0.8922  1 Ni 2.85, 2 Cu 2.89-3.08
Nd 0.9982 0.2694 0.5699  2 Cu 2.85-3.03, 1 Ni 2.95
Cu 0.0590 0.6653 0.7031  6 Nd 2.85-3.08
Cu 0.6653 0.0590 0.7031  6 Nd 2.85-3.08
Ni 0.3764 0.3764 0.9210  6 Nd 2.73-2.95

Summary:
The magnetization is 0.000 μB/atom.

---

Record 3
Density functional theory data (PBE-GGA) for NdCu6Ni6 after structural relaxation.

Unit cell a=6.3852 b=6.3852 c=6.3852 alpha=135.94 beta=98.15 gamma=98.03
Last column: nearest neighbours and their distance in Å.
Fractional positions:
Nd 0.0000 0.0000 0.0000  8 Cu 2.95-3.04, 12 Ni 3.06-3.19
Cu 0.2234 0.5000 0.7234  6 Ni 2.42-2.67, 4 Cu 2.62-2.64
Cu 0.3521 0.3521 0.0000  3 Cu 2.48-2.62, 6 Ni 2.56-2.61
Cu 0.3555 0.0000 0.3555  3 Cu 2.42-2.64, 6 Ni 2.57-2.59
Cu 0.6445 0.0000 0.6445  3 Cu 2.42-2.64, 6 Ni 2.57-2.59
Cu 0.6479 0.6479 0.0000  3 Cu 2.48-2.62, 6 Ni 2.56-2.61
Cu 0.7766 0.5000 0.2766  6 Ni 2.42-2.67, 4 Cu 2.62-2.64
Ni 0.0000 0.0000 0.5000  4 Ni 2.39-2.42, 6 Cu 2.42-2.57
Ni 0.0000 0.5000 0.0000  4 Ni 2.39-2.42, 6 Cu 2.42-2.57
Ni 0.2269 0.7269 0.5000  4 Ni 2.42, 6 Cu 2.59-2.67
Ni 0.5000 0.0000 0.0000  4 Ni 2.39-2.42, 6 Cu 2.42-2.57
Ni 0.5000 0.5000 0.5000  4 Ni 2.39-2.42, 6 Cu 2.42-2.57
Ni 0.7731 0.2731 0.5000  4 Ni 2.42, 6 Cu 2.59-2.67

Summary:
The magnetization is 0.000 μB/atom.

---

Record 4
Density functional theory data (PBE-GGA) for NdCu5Ni after structural relaxation.

Unit cell a=8.0502 b=5.0925 c=10.0215 alpha=90.00 beta=90.00 gamma=90.00
Last column: nearest neighbours and their distance in Å.
Fractional positions:
Nd 0.2406 0.2500 0.0657  11 Cu 2.88-3.15, 1 Ni 3.00
Nd 0.2594 0.7500 0.5657  11 Cu 2.88-3.15, 1 Ni 3.00
Nd 0.7406 0.2500 0.4343  11 Cu 2.88-3.15, 1 Ni 3.00
Nd 0.7594 0.7500 0.9343  11 Cu 2.88-3.15, 1 Ni 3.00
Cu 0.0636 0.0065 0.3075  7 Cu 2.46-2.61, 2 Ni 2.64-2.67
Cu 0.0636 0.4935 0.3075  7 Cu 2.46-2.61, 2 Ni 2.64-2.67
Cu 0.0654 0.7500 0.0918  5 Cu 2.49-2.77, 1 Ni 2.50
Cu 0.1037 0.2500 0.5168  5 Cu 2.46-2.57, 1 Ni 2.57
Cu 0.1826 0.2500 0.7594  7 Cu 2.47-2.63, 2 Ni 2.72
Cu 0.3174 0.7500 0.2594  7 Cu 2.47-2.63, 2 Ni 2.72
Cu 0.3963 0.7500 0.0168  5 Cu 2.46-2.57, 1 Ni 2.57
Cu 0.4346 0.2500 0.5918  5 Cu 2.49-2.77, 1 Ni 2.50
Cu 0.4364 0.5065 0.8075  7 Cu 2.46-2.61, 2 Ni 2.64-2.67
Cu 0.4364 0.9935 0.8075  7 Cu 2.46-2.61, 2 Ni 2.64-2.67
Cu 0.5636 0.0065 0.1925  7 Cu 2.46-2.61, 2 Ni 2.64-2.67
Cu 0.5636 0.4935 0.1925  7 Cu 2.46-2.61, 2 Ni 2.64-2.67
Cu 0.5654 0.7500 0.4082  5 Cu 2.49-2.77, 1 Ni 2.50
Cu 0.6037 0.2500 0.9832  5 Cu 2.46-2.57, 1 Ni 2.57
Cu 0.6826 0.2500 0.7406  7 Cu 2.47-2.63, 2 Ni 2.72
Cu 0.8174 0.7500 0.2406  7 Cu 2.47-2.63, 2 Ni 2.72
Cu 0.8963 0.7500 0.4832  5 Cu 2.46-2.57, 1 Ni 2.57
Cu 0.9346 0.2500 0.9082  5 Cu 2.49-2.77, 1 Ni 2.50
Cu 0.9364 0.5065 0.6925  7 Cu 2.46-2.61, 2 Ni 2.64-2.67
Cu 0.9364 0.9935 0.6925  7 Cu 2.46-2.61, 2 Ni 2.64-2.67
Ni 0.1519 0.7500 0.8523  8 Cu 2.50-2.72
Ni 0.3481 0.2500 0.3523  8 Cu 2.50-2.72
Ni 0.6519 0.7500 0.6477  8 Cu 2.50-2.72
Ni 0.8481 0.2500 0.1477  8 Cu 2.50-2.72

Summary:
The magnetization is 0.000 μB/atom.

---

Record 5
Density functional theory data (PBE-GGA) for NdCu9Ni3 after structural relaxation.

Unit cell a=6.4507 b=6.4507 c=6.3865 alpha=97.88 beta=97.88 gamma=135.80
Last column: nearest neighbours and their distance in Å.
Fractional positions:
Nd 0.0000 0.0000 0.0000  14 Cu 2.98-3.23, 6 Ni 3.19-3.23
Cu 0.0126 0.6570 0.6484  6 Cu 2.47-2.69, 3 Ni 2.56-2.57
Cu 0.2734 0.5011 0.7745  3 Ni 2.42-2.46, 6 Cu 2.43-2.69
Cu 0.3430 0.9874 0.3516  6 Cu 2.47-2.69, 3 Ni 2.56-2.57
Cu 0.4989 0.7266 0.2255  3 Ni 2.42-2.46, 6 Cu 2.43-2.69
Cu 0.5000 0.5000 0.5000  2 Ni 2.43, 8 Cu 2.43-2.63
Cu 0.5011 0.2734 0.7745  3 Ni 2.42-2.46, 6 Cu 2.43-2.69
Cu 0.6570 0.0126 0.6484  6 Cu 2.47-2.69, 3 Ni 2.56-2.57
Cu 0.7266 0.4989 0.2255  3 Ni 2.42-2.46, 6 Cu 2.43-2.69
Cu 0.9874 0.3430 0.3516  6 Cu 2.47-2.69, 3 Ni 2.56-2.57
Ni 0.0000 0.0000 0.5000  10 Cu 2.43-2.57
Ni 0.0000 0.5000 0.0000  8 Cu 2.42-2.57, 2 Ni 2.43
Ni 0.5000 0.0000 0.0000  8 Cu 2.42-2.57, 2 Ni 2.43

Summary:
The magnetization is 0.000 μB/atom.

---

Record 6
Density functional theory data (PBE-GGA) for Nd2Cu3Ni2 after structural relaxation.

Unit cell a=5.4590 b=5.4590 c=6.4667 alpha=102.30 beta=102.30 gamma=43.97
Last column: nearest neighbours and their distance in Å.
Fractional positions:
Nd 0.1623 0.1623 0.2099  5 Ni 2.91-3.05, 4 Cu 2.94-3.26
Nd 0.8377 0.8377 0.7901  5 Ni 2.91-3.05, 4 Cu 2.94-3.26
Cu 0.1055 0.1055 0.6856  2 Ni 2.46, 2 Cu 2.48
Cu 0.5000 0.5000 0.5000  2 Ni 2.38, 4 Cu 2.48
Cu 0.8945 0.8945 0.3144  2 Ni 2.46, 2 Cu 2.48
Ni 0.4320 0.4320 0.1231  1 Ni 2.33, 3 Cu 2.38-2.46
Ni 0.5680 0.5680 0.8769  1 Ni 2.33, 3 Cu 2.38-2.46

Summary:
The magnetization is 0.000 μB/atom.

---

Record 7
Density functional theory data (PBE-GGA) for Nd6CuNi2 after structural relaxation.

Unit cell a=8.5453 b=8.5453 c=8.5453 alpha=112.53 beta=108.87 gamma=107.06
Last column: nearest neighbours and their distance in Å.
Fractional positions:
Nd 0.0445 0.2333 0.8112  1 Ni 2.86, 1 Cu 3.02
Nd 0.1768 0.2847 0.4615  3 Ni 2.96-3.20, 1 Cu 3.22
Nd 0.1768 0.7153 0.8920  3 Ni 2.96-3.20, 1 Cu 3.22
Nd 0.3273 0.0196 0.6923  3 Ni 2.78-2.94
Nd 0.3273 0.6350 0.3077  3 Ni 2.78-2.94
Nd 0.4220 0.2333 0.1888  1 Ni 2.86, 1 Cu 3.02
Nd 0.5780 0.7667 0.8112  1 Ni 2.86, 1 Cu 3.02
Nd 0.6727 0.3650 0.6923  3 Ni 2.78-2.94
Nd 0.6727 0.9804 0.3077  3 Ni 2.78-2.94
Nd 0.8232 0.2847 0.1080  3 Ni 2.96-3.20, 1 Cu 3.22
Nd 0.8232 0.7153 0.5385  3 Ni 2.96-3.20, 1 Cu 3.22
Nd 0.9555 0.7667 0.1888  1 Ni 2.86, 1 Cu 3.02
Cu 0.0000 0.0000 0.0000  8 Nd 3.02-3.22
Cu 0.5000 0.5000 0.0000  8 Nd 3.30-3.41
Ni 0.1213 0.6213 0.5000  1 Ni 2.46
Ni 0.3495 0.0000 0.3495  6 Nd 2.86-2.94, 1 Ni 2.99
Ni 0.6505 0.0000 0.6505  6 Nd 2.86-2.94, 1 Ni 2.99
Ni 0.8787 0.3787 0.5000  1 Ni 2.46

Summary:
The magnetization is 0.000 μB/atom.

---

Record 8
Density functional theory data (PBE-GGA) for Nd2Cu4Ni3 after structural relaxation.

Unit cell a=7.7721 b=6.8551 c=5.0842 alpha=79.72 beta=60.21 gamma=40.07
Last column: nearest neighbours and their distance in Å.
Fractional positions:
Nd 0.1316 0.1316 0.8684  8 Cu 2.93-3.01, 6 Ni 3.01-3.05
Nd 0.8684 0.8684 0.1316  8 Cu 2.93-3.01, 6 Ni 3.01-3.05
Cu 0.1612 0.5080 0.4920  3 Ni 2.54-2.61, 3 Cu 2.55-2.84
Cu 0.4920 0.8388 0.1612  3 Ni 2.54-2.61, 3 Cu 2.55-2.84
Cu 0.5080 0.1612 0.8388  3 Ni 2.54-2.61, 3 Cu 2.55-2.84
Cu 0.8388 0.4920 0.5080  3 Ni 2.54-2.61, 3 Cu 2.55-2.84
Ni 0.0000 0.0000 0.5000  4 Ni 2.49-2.54, 4 Cu 2.54
Ni 0.5000 0.5000 0.0000  4 Ni 2.49-2.54, 4 Cu 2.54
Ni 0.5000 0.5000 0.5000  4 Ni 2.54, 4 Cu 2.61

Summary:
The magnetization is 0.000 μB/atom.

---

Record 9
Density functional theory data (PBE-GGA) for NdCu8Ni2 after structural relaxation.

Unit cell a=8.7829 b=8.7829 c=8.7829 alpha=147.88 beta=147.88 gamma=46.06
Last column: nearest neighbours and their distance in Å.
Fractional positions:
Nd 0.0000 0.0000 0.0000  8 Cu 2.92
Cu 0.1072 0.1072 0.5050  4 Cu 2.41-2.45, 2 Ni 2.41
Cu 0.1072 0.6023 0.0000  4 Cu 2.41-2.45, 2 Ni 2.41
Cu 0.3977 0.3977 0.5050  4 Cu 2.41-2.45, 2 Ni 2.41
Cu 0.3977 0.8928 0.0000  4 Cu 2.41-2.45, 2 Ni 2.41
Cu 0.6023 0.1072 0.0000  4 Cu 2.41-2.45, 2 Ni 2.41
Cu 0.6023 0.6023 0.4950  4 Cu 2.41-2.45, 2 Ni 2.41
Cu 0.8928 0.3977 0.0000  4 Cu 2.41-2.45, 2 Ni 2.41
Cu 0.8928 0.8928 0.4950  4 Cu 2.41-2.45, 2 Ni 2.41
Ni 0.2500 0.7500 0.5000  8 Cu 2.41
Ni 0.7500 0.2500 0.5000  8 Cu 2.41

Summary:
The magnetization is 0.000 μB/atom.

---

Record 10
Density functional theory data (PBE-GGA) for NdCuNi4 after structural relaxation.

Unit cell a=5.0169 b=5.0169 c=3.9922 alpha=90.00 beta=90.00 gamma=121.11
Last column: nearest neighbours and their distance in Å.
Fractional positions:
Nd 0.0000 0.0000 0.0000  6 Ni 2.83-2.91
Cu 0.5000 0.5000 0.5000  8 Ni 2.51-2.52
Ni 0.0000 0.5000 0.5000  6 Ni 2.43-2.47, 2 Cu 2.51
Ni 0.3238 0.6762 0.0000  4 Ni 2.43, 2 Cu 2.52
Ni 0.5000 0.0000 0.5000  6 Ni 2.43-2.47, 2 Cu 2.51
Ni 0.6762 0.3238 0.0000  4 Ni 2.43, 2 Cu 2.52

Summary:
The magnetization is 0.000 μB/atom.

---

Record 11
Density functional theory data (PBE-GGA) for Nd3CuNi2 after structural relaxation.

Unit cell a=12.1195 b=3.9223 c=11.6438 alpha=90.00 beta=90.00 gamma=90.00
Last column: nearest neighbours and their distance in Å.
Fractional positions:
Nd 0.0635 0.2500 0.1326  4 Ni 2.90-2.93, 1 Cu 3.02
Nd 0.1203 0.7500 0.5762  4 Ni 2.92-3.07, 3 Cu 2.98-3.02
Nd 0.2014 0.2500 0.8302  3 Ni 2.84-3.15, 2 Cu 2.93
Nd 0.2986 0.7500 0.3302  3 Ni 2.84-3.15, 2 Cu 2.93
Nd 0.3797 0.2500 0.0762  4 Ni 2.92-3.07, 3 Cu 2.98-3.02
Nd 0.4365 0.7500 0.6326  4 Ni 2.90-2.93, 1 Cu 3.02
Nd 0.5635 0.2500 0.3674  4 Ni 2.90-2.93, 1 Cu 3.02
Nd 0.6203 0.7500 0.9238  4 Ni 2.92-3.07, 3 Cu 2.98-3.02
Nd 0.7014 0.2500 0.6698  3 Ni 2.84-3.15, 2 Cu 2.93
Nd 0.7986 0.7500 0.1698  3 Ni 2.84-3.15, 2 Cu 2.93
Nd 0.8797 0.2500 0.4238  4 Ni 2.92-3.07, 3 Cu 2.98-3.02
Nd 0.9365 0.7500 0.8674  4 Ni 2.90-2.93, 1 Cu 3.02
Cu 0.1261 0.2500 0.3840  3 Ni 2.49-2.58
Cu 0.3739 0.7500 0.8840  3 Ni 2.49-2.58
Cu 0.6261 0.2500 0.1160  3 Ni 2.49-2.58
Cu 0.8739 0.7500 0.6160  3 Ni 2.49-2.58
Ni 0.0206 0.7500 0.3102  2 Cu 2.49
Ni 0.1963 0.7500 0.0064  1 Cu 2.58, 2 Nd 2.84
Ni 0.3037 0.2500 0.5064  1 Cu 2.58, 2 Nd 2.84
Ni 0.4794 0.2500 0.8102  2 Cu 2.49
Ni 0.5206 0.7500 0.1898  2 Cu 2.49
Ni 0.6963 0.7500 0.4936  1 Cu 2.58, 2 Nd 2.84
Ni 0.8037 0.2500 0.9936  1 Cu 2.58, 2 Nd 2.84
Ni 0.9794 0.2500 0.6898  2 Cu 2.49

Summary:
The magnetization is 0.000 μB/atom.

---

Number 1: ρ 8.065 Mg/m³, E_form -0.06 eV per atom, raw total energy -4.552 eV per atom. Number 2: ρ 6.811 Mg/m³, E_form 0.01 eV per atom, raw total energy -4.725 eV per atom. Number 3: ρ 8.685 Mg/m³, E_form -0.10 eV per atom, raw total energy -5.028 eV per atom. Number 4: ρ 8.418 Mg/m³, E_form -0.12 eV per atom, raw total energy -4.553 eV per atom. Number 5: ρ 8.586 Mg/m³, E_form -0.09 eV per atom, raw total energy -4.629 eV per atom. Number 6: ρ 7.606 Mg/m³, E_form -0.21 eV per atom, raw total energy -4.981 eV per atom. Number 7: ρ 7.252 Mg/m³, E_form -0.16 eV per atom, raw total energy -5.079 eV per atom. Number 8: ρ 8.459 Mg/m³, E_form -0.23 eV per atom, raw total energy -5.034 eV per atom. Number 9: ρ 6.700 Mg/m³, E_form 0.38 eV per atom, raw total energy -4.082 eV per atom. Number 10: ρ 8.543 Mg/m³, E_form -0.26 eV per atom, raw total energy -5.593 eV per atom. Number 11: ρ 7.364 Mg/m³, E_form -0.23 eV per atom, raw total energy -5.227 eV per atom.